Er2ScTe3 after structural relaxation. Source: Alexandria, functional PBE-GGA.

Cell lengths 4.287, 6.034, 7.390 Å; angles 114.09, 106.86, 90.00 degrees
Fractional coordinates of all 6 atoms:
Te1 0.500 0.000 0.500
Te2 0.159 0.659 0.818
Te3 0.841 0.341 0.182
Er1 0.828 0.828 0.156
Er2 0.172 0.172 0.844
Sc1 0.500 0.500 0.500

Computed properties:
E_tot   -5.32 eV per atom
Formation energy from raw total energies   -112.9 kJ per mole of atoms
Space group   No. 71
DOS at the Fermi energy   3.52 states/eV/f.u.